First-principles (PBEsol) data for a relaxed K2LiPb crystal, as listed in Alexandria via LeMat-Bulk.

**ΔE_f**: -0.05 eV/atom
**E**: -2.108 eV/atom
**SG**: Pm

Cell: 4.5169 5.3084 6.9885 Å, 90.00 108.69 90.00°
With the nearest neighbours (Å) after each atom.
Fractional coordinates of all 4 atoms:
K 0.0257 0.0000 0.9286  2 Li 3.30
K 0.7100 0.5000 0.2930  3 Pb 3.58-3.83, 4 Li 3.92-3.93
Li 0.3461 0.0000 0.5647  2 Pb 2.83
Pb 0.4182 0.5000 0.7137  2 Li 2.83